[1]
SmYCo3 | PBE | optimized geometry

Cell: 12.052 12.052 3.889 Å, 90.00 90.00 160.43°
Fractional coordinates of all 10 atoms:
Sm  0.202  0.798  0.750
Sm  0.798  0.202  0.250
Y  0.068  0.932  0.250
Y  0.932  0.068  0.750
Co  0.336  0.664  0.750
Co  0.383  0.617  0.250
Co  0.477  0.523  0.250
Co  0.523  0.477  0.750
Co  0.617  0.383  0.750
Co  0.664  0.336  0.250

Output
final energy = -6.654 eV/atom
D(E_F) = 8.247 states/eV per cell
crystal system = orthorhombic
magnetization = 0.3658 μB per atom

[2]
PmZn2InPt5 | PBE | optimized geometry

Cell: 4.129 4.129 9.630 Å, 90.00 90.00 90.00°
Fractional coordinates of all 9 atoms:
Pm  0.000  0.000  0.000
Zn  0.500  0.500  0.376
Zn  0.500  0.500  0.624
In  0.000  0.000  0.500
Pt  0.000  0.500  0.225
Pt  0.000  0.500  0.775
Pt  0.500  0.000  0.225
Pt  0.500  0.000  0.775
Pt  0.500  0.500  0.000

Output
final energy = -4.953 eV/atom
D(E_F) = 3.496 states/eV per cell
crystal system = tetragonal
magnetization = 0.0000 μB per atom

[3]
Li3CoRe | PBE | optimized geometry

Cell: 4.011 4.011 4.011 Å, 90.00 90.00 90.00°
Fractional coordinates of all 5 atoms:
Li  0.000  0.000  0.500
Li  0.000  0.500  0.000
Li  0.500  0.000  0.000
Co  0.000  0.000  0.000
Re  0.500  0.500  0.500

Output
final energy = -3.647 eV/atom
D(E_F) = 3.605 states/eV per cell
crystal system = cubic
magnetization = 0.0057 μB per atom

[4]
Ta2Nb3In | PBE | optimized geometry

Cell: 3.420 3.420 9.631 Å, 90.00 90.00 90.00°
Fractional coordinates of all 6 atoms:
Ta  0.000  0.000  0.168
Ta  0.000  0.000  0.832
Nb  0.500  0.500  0.000
Nb  0.500  0.500  0.324
Nb  0.500  0.500  0.676
In  0.000  0.000  0.500

Output
final energy = -9.450 eV/atom
D(E_F) = 5.344 states/eV per cell
crystal system = tetragonal
magnetization = 0.0000 μB per atom

[5]
Ac5Pm4Er2 | PBE | optimized geometry

Cell: 9.359 3.687 12.501 Å, 90.00 92.43 90.00°
Fractional coordinates of all 11 atoms:
Ac  0.000  0.000  0.000
Ac  0.198  0.000  0.525
Ac  0.286  0.000  0.820
Ac  0.714  0.000  0.180
Ac  0.802  0.000  0.475
Pm  0.078  0.500  0.266
Pm  0.461  0.500  0.354
Pm  0.539  0.500  0.646
Pm  0.922  0.500  0.734
Er  0.346  0.000  0.122
Er  0.654  0.000  0.878

Output
final energy = -4.257 eV/atom
D(E_F) = 19.966 states/eV per cell
crystal system = monoclinic
magnetization = 0.0000 μB per atom

[6]
KTcRu2 | PBE | optimized geometry

Cell: 2.803 2.803 9.282 Å, 90.00 90.00 90.00°
Fractional coordinates of all 4 atoms:
K  0.000  0.000  0.000
Tc  0.000  0.000  0.500
Ru  0.500  0.500  0.310
Ru  0.500  0.500  0.690

Output
final energy = -6.797 eV/atom
D(E_F) = 7.484 states/eV per cell
crystal system = tetragonal
magnetization = 0.0749 μB per atom

[7]
Dy4Pd3Ru | PBE | optimized geometry

Cell: 3.452 3.452 14.118 Å, 90.00 90.00 90.00°
Fractional coordinates of all 8 atoms:
Dy  0.000  0.000  0.118
Dy  0.000  0.000  0.373
Dy  0.000  0.000  0.627
Dy  0.000  0.000  0.882
Pd  0.500  0.500  0.249
Pd  0.500  0.500  0.500
Pd  0.500  0.500  0.751
Ru  0.500  0.500  0.000

Output
final energy = -6.200 eV/atom
D(E_F) = 2.754 states/eV per cell
crystal system = tetragonal
magnetization = 0.0000 μB per atom

[8]
ZrBAs2O | PBE | optimized geometry

Cell: 5.395 5.395 3.940 Å, 90.00 90.00 90.00°
Fractional coordinates of all 5 atoms:
Zr  0.000  0.000  0.000
B  0.500  0.500  0.500
As  0.000  0.500  0.000
As  0.500  0.000  0.000
O  0.000  0.000  0.500

Output
final energy = -5.496 eV/atom
D(E_F) = 4.514 states/eV per cell
crystal system = tetragonal
magnetization = 0.0000 μB per atom